Record 1
An optimized crystal structure of Pb3Cl. Source: Alexandria via LeMat-Bulk, functional PBE-GGA.

Cell lengths 6.929, 6.929, 5.785 Å; angles 90.00, 90.00, 120.00 degrees
Sites, in units of the cell vectors:
Pb 0.163 0.327 0.250
Pb 0.163 0.837 0.250
Pb 0.327 0.163 0.750
Pb 0.673 0.837 0.250
Pb 0.837 0.163 0.750
Pb 0.837 0.673 0.750
Cl 0.333 0.667 0.750
Cl 0.667 0.333 0.250

## Properties
Calculated total energy: -26.73 eV for the cell shown
ΔE_f (raw): -0.10 eV/atom
SG: P6_3/mmc (194)

---

Record 2
An optimized crystal structure of Pb2Cl. Source: Alexandria via LeMat-Bulk, functional PBE-GGA.

Cell lengths 5.173, 5.173, 5.173 Å; angles 60.00, 60.00, 60.00 degrees
Sites, in units of the cell vectors:
Pb 0.250 0.250 0.250
Pb 0.750 0.750 0.750
Cl 0.000 0.000 0.000

## Properties
Calculated total energy: -9.03 eV for the cell shown
ΔE_f (raw): 0.08 eV/atom
SG: Fm-3m (225)

---

Record 3
An optimized crystal structure of PbCl3. Source: Alexandria via LeMat-Bulk, functional PBE-GGA.

Cell lengths 6.584, 6.584, 6.584 Å; angles 41.57, 41.57, 41.57 degrees
Sites, in units of the cell vectors:
Pb 0.000 0.000 0.000
Cl 0.266 0.266 0.266
Cl 0.500 0.500 0.500
Cl 0.734 0.734 0.734

## Properties
Calculated total energy: -11.35 eV for the cell shown
ΔE_f (raw): -0.53 eV/atom
SG: R-3m (166)

---

Record 4
An optimized crystal structure of Pb3Cl2. Source: Alexandria via LeMat-Bulk, functional PBE-GGA.

Cell lengths 8.146, 7.184, 9.620 Å; angles 55.74, 46.80, 77.46 degrees
Sites, in units of the cell vectors:
Pb 0.000 0.000 0.000
Pb 0.250 0.250 0.250
Pb 0.382 0.756 0.478
Pb 0.756 0.382 0.384
Pb 0.772 0.866 0.868
Pb 0.866 0.772 0.494
Cl 0.237 0.537 0.386
Cl 0.409 0.864 0.713
Cl 0.537 0.237 0.841
Cl 0.864 0.409 0.013

## Properties
Calculated total energy: -33.57 eV for the cell shown
ΔE_f (raw): -0.39 eV/atom
SG: Fdd2 (43)

---

Record 5
An optimized crystal structure of Pb2Cl. Source: Alexandria via LeMat-Bulk, functional PBE-GGA.

Cell lengths 8.766, 8.766, 5.631 Å; angles 90.00, 90.00, 156.29 degrees
Sites, in units of the cell vectors:
Pb 0.057 0.943 0.750
Pb 0.364 0.636 0.750
Pb 0.636 0.364 0.250
Pb 0.943 0.057 0.250
Cl 0.282 0.718 0.250
Cl 0.718 0.282 0.750

## Properties
Calculated total energy: -20.67 eV for the cell shown
ΔE_f (raw): -0.36 eV/atom
SG: Cmcm (63)

---

Record 6
An optimized crystal structure of PbCl3. Source: Alexandria via LeMat-Bulk, functional PBE-GGA.

Cell lengths 6.425, 6.425, 5.138 Å; angles 101.12, 101.12, 36.70 degrees
Sites, in units of the cell vectors:
Pb 0.000 0.000 0.000
Cl 0.331 0.331 0.817
Cl 0.500 0.500 0.500
Cl 0.669 0.669 0.183

## Properties
Calculated total energy: -11.70 eV for the cell shown
ΔE_f (raw): -0.61 eV/atom
SG: C2/m (12)

---

Record 7
An optimized crystal structure of Pb5Cl4. Source: Alexandria via LeMat-Bulk, functional PBE-GGA.

Cell lengths 9.908, 9.908, 6.167 Å; angles 90.00, 90.00, 120.00 degrees
Sites, in units of the cell vectors:
Pb 0.000 0.291 0.250
Pb 0.000 0.709 0.750
Pb 0.291 0.000 0.250
Pb 0.291 0.291 0.750
Pb 0.333 0.667 0.000
Pb 0.333 0.667 0.500
Pb 0.667 0.333 0.000
Pb 0.667 0.333 0.500
Pb 0.709 0.000 0.750
Pb 0.709 0.709 0.250
Cl 0.000 0.000 0.000
Cl 0.000 0.000 0.500
Cl 0.000 0.323 0.750
Cl 0.000 0.677 0.250
Cl 0.323 0.000 0.750
Cl 0.323 0.323 0.250
Cl 0.677 0.000 0.250
Cl 0.677 0.677 0.750

## Properties
Calculated total energy: -59.26 eV for the cell shown
ΔE_f (raw): -0.41 eV/atom
SG: P6_3/mcm (193)

---

Record 8
An optimized crystal structure of PbCl3. Source: Alexandria via LeMat-Bulk, functional PBE-GGA.

Cell lengths 6.673, 6.673, 6.673 Å; angles 146.12, 136.03, 56.63 degrees
Sites, in units of the cell vectors:
Pb 0.000 0.000 0.000
Cl 0.184 0.684 0.500
Cl 0.500 0.500 0.000
Cl 0.816 0.316 0.500

## Properties
Calculated total energy: -11.54 eV for the cell shown
ΔE_f (raw): -0.57 eV/atom
SG: Immm (71)

---

| no. | total magnetic moment (μB/f.u.) |
| --- | --- |
| 1 | 0.0 |
| 2 | 0.0 |
| 3 | 0.9 |
| 4 | 0.0 |
| 5 | 0.0 |
| 6 | 1.0 |
| 7 | 0.0 |
| 8 | 1.0 |